An optimized crystal structure of FeNiIrPt, computed with GGA-PBE.

The structure belongs to space group F-43m (No. 216); the cell edges are 5.9944, 5.9944 and 5.9944 Å and the angles 90.00°, 90.00° and 90.00°. The distinct sites, in fractional coordinates, are Fe at (0.0000, 0.0000, 0.0000), Ni at (0.0000, 0.0000, 0.5000), Ir at (0.2500, 0.2500, 0.2500) and Pt at (0.2500, 0.2500, 0.7500).

The calculation puts the calculated total energy at -7.282 eV per atom. The total moment comes out at 0.825 μB/atom. The calculation puts the formation energy at 0.0045 eV per atom.